An optimized crystal structure of La4GeBiC. Source: Alexandria via LeMat-Bulk, functional PBE.

## Properties
Symmetry   Cmcm (63)
Formation energy from the elements   -568 meV per atom
Density   6588 kg/m3
Calculated total energy   -82.82 eV for the cell shown

Geometry as POSCAR:
```
La4GeBiC
1.0
3.5557 -8.4558 0.0000
3.5557 8.4558 0.0000
0.0000 0.0000 7.1196
La Ge Bi C
8 2 2 2
Direct
0.0000 0.5000 0.0000 La
0.0000 0.5000 0.5000 La
0.0702 0.9298 0.7500 La
0.4120 0.5880 0.7500 La
0.5000 0.0000 0.0000 La
0.5000 0.0000 0.5000 La
0.5880 0.4120 0.2500 La
0.9298 0.0702 0.2500 La
0.1145 0.8855 0.2500 Ge
0.8855 0.1145 0.7500 Ge
0.3911 0.6089 0.2500 Bi
0.6089 0.3911 0.7500 Bi
0.2709 0.7291 0.7500 C
0.7291 0.2709 0.2500 C
```